This record from Alexandria via LeMat-Bulk describes a relaxed structure of HfNpTc2. The functional is PBE-GGA.

a = 6.6182 Å, b = 6.6182 Å, c = 6.6182 Å
α = 90.00°, β = 90.00°, γ = 90.00°
With the nearest neighbours (Å) after each atom.
Space group Fm-3m (No. 225)
Symmetry-distinct sites (fractional):
1 Hf 0.0000 0.0000 0.0000 (multiplicity 4)  8 Tc 2.87
2 Np 0.0000 0.0000 0.5000 (multiplicity 4)  8 Tc 2.87
3 Tc 0.2500 0.2500 0.2500 (multiplicity 8)  4 Np 2.87, 4 Hf 2.87

Calculated values
Energy of formation from the pure elements (kJ/mol of atoms): -14.3
D(E_F) (states/eV/cell): 26.70